First-principles (PBE) data for BaCoNiTe3 after structural relaxation, as listed in OQMD via LeMat-Bulk.

The structure in CIF format:
```
data_BaCoNiTe3
_symmetry_space_group_name_H-M 'C m c m'
_symmetry_Int_Tables_number 63
_symmetry_space_group_name_Hall '-C 2c 2'
_cell_length_a 4.1411
_cell_length_b 14.3487
_cell_length_c 10.5651
_cell_angle_alpha 90.00
_cell_angle_beta 90.00
_cell_angle_gamma 90.00
loop_
_atom_site_label
_atom_site_type_symbol
_atom_site_fract_x
_atom_site_fract_y
_atom_site_fract_z
_atom_site_occupancy
Ba1 Ba 0.0000 0.2437 0.2500 1
Co1 Co 0.0000 0.4585 0.7500 1
Ni1 Ni 0.0000 0.0000 0.0000 1
Te1 Te 0.0000 0.0538 0.7500 1
Te2 Te 0.0000 0.3803 0.5368 1
```

Results
Magnetic moment in Bohr magnetons per cell: 5.4
Excess energy over the best structure of this formula in the dataset in eV per atom: 0.038
Volume in Å³ per cell: 628
Calculated total energy in eV per atom: -4.439
Crystal system: orthorhombic

***

First-principles (PBE) data for Na3USe4 after structural relaxation, as listed in OQMD via LeMat-Bulk.

The structure in CIF format:
```
data_Na3USe4
_symmetry_space_group_name_H-M 'C m m m'
_symmetry_Int_Tables_number 65
_symmetry_space_group_name_Hall '-C 2 2'
_cell_length_a 8.4047
_cell_length_b 11.7102
_cell_length_c 4.1837
_cell_angle_alpha 90.00
_cell_angle_beta 90.00
_cell_angle_gamma 90.00
loop_
_atom_site_label
_atom_site_type_symbol
_atom_site_fract_x
_atom_site_fract_y
_atom_site_fract_z
_atom_site_occupancy
Na1 Na 0.0000 0.0000 0.0000 1
Na2 Na 0.2500 0.2500 0.5000 1
U1 U 0.0000 0.5000 0.0000 1
Se1 Se 0.0000 0.2710 0.0000 1
Se2 Se 0.2272 0.5000 0.5000 1
```

Results
Magnetic moment in Bohr magnetons per cell: 2.0
Volume in Å³ per cell: 412
Calculated total energy in eV per atom: -4.804
Crystal system: orthorhombic

***

First-principles (PBE) data for CdPb2Cl5 after structural relaxation, as listed in OQMD via LeMat-Bulk.

The structure in CIF format:
```
data_CdPb2Cl5
_symmetry_space_group_name_H-M 'P 4/m m m'
_symmetry_Int_Tables_number 123
_symmetry_space_group_name_Hall '-P 4 2'
_cell_length_a 6.8965
_cell_length_b 6.8965
_cell_length_c 4.8607
_cell_angle_alpha 90.00
_cell_angle_beta 90.00
_cell_angle_gamma 90.00
loop_
_atom_site_label
_atom_site_type_symbol
_atom_site_fract_x
_atom_site_fract_y
_atom_site_fract_z
_atom_site_occupancy
Cd1 Cd 0.0000 0.0000 0.0000 1
Pb1 Pb 0.0000 0.5000 0.5000 1
Cl1 Cl 0.0000 0.0000 0.5000 1
Cl2 Cl 0.2650 0.2650 0.0000 1
```

Results
Volume in Å³ per cell: 231
Calculated total energy in eV per atom: -2.890
Crystal system: tetragonal

***

First-principles (PBE) data for HoTmInTe3 after structural relaxation, as listed in OQMD via LeMat-Bulk.

The structure in CIF format:
```
data_HoTmInTe3
_symmetry_space_group_name_H-M 'C m c m'
_symmetry_Int_Tables_number 63
_symmetry_space_group_name_Hall '-C 2c 2'
_cell_length_a 4.3242
_cell_length_b 15.1147
_cell_length_c 11.9521
_cell_angle_alpha 90.00
_cell_angle_beta 90.00
_cell_angle_gamma 90.00
loop_
_atom_site_label
_atom_site_type_symbol
_atom_site_fract_x
_atom_site_fract_y
_atom_site_fract_z
_atom_site_occupancy
Ho1 Ho 0.0000 0.0000 0.0000 1
Tm1 Tm 0.0000 0.4254 0.2500 1
In1 In 0.0000 0.2500 0.7500 1
Te1 Te 0.0000 0.0620 0.2500 1
Te2 Te 0.0000 0.3548 0.0233 1
```

Results
Magnetic moment in Bohr magnetons per cell: 0.1
Excess energy over the best structure of this formula in the dataset in eV per atom: 0.053
Volume in Å³ per cell: 781
Calculated total energy in eV per atom: -4.448
Crystal system: orthorhombic

***

First-principles (PBE) data for Th2Se5 after structural relaxation, as listed in OQMD via LeMat-Bulk.

The structure in CIF format:
```
data_Th2Se5
_symmetry_space_group_name_H-M 'P b c n'
_symmetry_Int_Tables_number 60
_symmetry_space_group_name_Hall '-P 2n 2ab'
_cell_length_a 8.0075
_cell_length_b 10.7752
_cell_length_c 8.0201
_cell_angle_alpha 90.00
_cell_angle_beta 90.00
_cell_angle_gamma 90.00
loop_
_atom_site_label
_atom_site_type_symbol
_atom_site_fract_x
_atom_site_fract_y
_atom_site_fract_z
_atom_site_occupancy
Th1 Th 0.2416 0.1471 0.0087 1
Se1 Se 0.0000 0.2502 0.7500 1
Se2 Se 0.1135 0.3967 0.1371 1
Se3 Se 0.1300 0.1067 0.3806 1
```

Results
Magnetic moment in Bohr magnetons per cell: 0.0
Volume in Å³ per cell: 692
Calculated total energy in eV per atom: -6.153
Crystal system: orthorhombic

***

First-principles (PBE) data for TcSbH2 after structural relaxation, as listed in OQMD via LeMat-Bulk.

The structure in CIF format:
```
data_TcSbH2
_symmetry_space_group_name_H-M 'I 4 m m'
_symmetry_Int_Tables_number 107
_symmetry_space_group_name_Hall 'I 4 -2'
_cell_length_a 3.2568
_cell_length_b 3.2568
_cell_length_c 8.6934
_cell_angle_alpha 90.00
_cell_angle_beta 90.00
_cell_angle_gamma 90.00
loop_
_atom_site_label
_atom_site_type_symbol
_atom_site_fract_x
_atom_site_fract_y
_atom_site_fract_z
_atom_site_occupancy
Tc1 Tc 0.0000 0.0000 0.0000 1
Sb1 Sb 0.0000 0.0000 0.6789 1
H1 H 0.0000 0.5000 0.4106 1
```

Results
Magnetic moment in Bohr magnetons per cell: 0.0
Volume in Å³ per cell: 92
Calculated total energy in eV per atom: -5.337
Crystal system: tetragonal

***

First-principles (PBE) data for GdFeCoB2 after structural relaxation, as listed in OQMD via LeMat-Bulk.

The structure in CIF format:
```
data_GdFeCoB2
_symmetry_space_group_name_H-M 'I -4 m 2'
_symmetry_Int_Tables_number 119
_symmetry_space_group_name_Hall 'I -4 -2'
_cell_length_a 3.6209
_cell_length_b 3.6209
_cell_length_c 9.3922
_cell_angle_alpha 90.00
_cell_angle_beta 90.00
_cell_angle_gamma 90.00
loop_
_atom_site_label
_atom_site_type_symbol
_atom_site_fract_x
_atom_site_fract_y
_atom_site_fract_z
_atom_site_occupancy
Gd1 Gd 0.0000 0.0000 0.0000 1
Fe1 Fe 0.0000 0.5000 0.7500 1
Co1 Co 0.0000 0.5000 0.2500 1
B1 B 0.0000 0.0000 0.3371 1
```

Results
Magnetic moment in Bohr magnetons per cell: 0.0
Volume in Å³ per cell: 123
Calculated total energy in eV per atom: -7.186
Crystal system: tetragonal

***

First-principles (PBE) data for NaZrCuTe2S after structural relaxation, as listed in OQMD via LeMat-Bulk.

The structure in CIF format:
```
data_NaZrCuTe2S
_symmetry_space_group_name_H-M 'C m c m'
_symmetry_Int_Tables_number 63
_symmetry_space_group_name_Hall '-C 2c 2'
_cell_length_a 3.9028
_cell_length_b 14.6386
_cell_length_c 10.1015
_cell_angle_alpha 90.00
_cell_angle_beta 90.00
_cell_angle_gamma 90.00
loop_
_atom_site_label
_atom_site_type_symbol
_atom_site_fract_x
_atom_site_fract_y
_atom_site_fract_z
_atom_site_occupancy
Na1 Na 0.0000 0.2216 0.2500 1
Zr1 Zr 0.0000 0.5000 0.0000 1
Cu1 Cu 0.0000 0.0279 0.7500 1
Te1 Te 0.0000 0.1438 0.5542 1
S1 S 0.0000 0.4420 0.7500 1
```

Results
Magnetic moment in Bohr magnetons per cell: 0.0
Excess energy over the best structure of this formula in the dataset in eV per atom: 0.016
Volume in Å³ per cell: 577
Calculated total energy in eV per atom: -4.855
Crystal system: orthorhombic